TbDyAs2O8 after structural relaxation, computed with PBE.

The raw total energy is -7.208 eV per atom.

It has space group I-4 (No. 82), with a = 5.055 Å, b = 5.055 Å, c = 11.359 Å, α = 90.00°, β = 90.00° and γ = 90.00°. Symmetry generates all atoms from Tb at (0.000, 0.000, 0.000), Dy at (0.000, 0.500, 0.250), As at (0.000, 0.000, 0.500), As at (0.000, 0.500, 0.750), O at (0.148, 0.252, 0.421) and O at (0.149, 0.752, 0.829).

---

DyTlAs2O8 after structural relaxation, computed with PBE.

The raw total energy is -6.322 eV per atom.

It has space group I-4m2 (No. 119), with a = 7.203 Å, b = 7.203 Å, c = 6.351 Å, α = 90.00°, β = 90.00° and γ = 90.00°. Symmetry generates all atoms from Dy at (0.000, 0.000, 0.000), Tl at (0.000, 0.500, 0.250), As at (0.000, 0.000, 0.500), As at (0.000, 0.500, 0.750), O at (0.000, 0.178, 0.318) and O at (0.000, 0.318, 0.927).

---

DyTl3As2O6 after structural relaxation, computed with PBE.

The raw total energy is -5.795 eV per atom.

It has space group P-3m1 (No. 164), with a = 6.0145 Å, b = 6.0145 Å, c = 7.3567 Å, α = 90.00°, β = 90.00° and γ = 120.00°. Symmetry generates all atoms from Dy at (0.0000, 0.0000, 0.0000), Tl at (0.0000, 0.0000, 0.5000), Tl at (0.3333, 0.6667, 0.1786), As at (0.3333, 0.6667, 0.7117) and O at (0.1796, 0.3591, 0.8234).

---

The evaluated spin magnetization for the records listed, in turn: 0.0; 0.0; 0.0 μB per cell.